Tm2ThRh2: optimized geometry, PBE.

The calculation puts the volume at 461 Å³ per cell. For the formation energy, the calculation gives -0.715 eV/atom. The value obtained for the calculated density is 11.17 g/cm³.

The space group is Cmcm (No. 63) and the conventional cell measures 3.852, 26.299 and 4.555 Å, with angles of 90.00, 90.00 and 90.00 degrees. The inequivalent atoms are Tm at (0.000, 0.051, 0.250), Tm at (0.000, 0.261, 0.750), Th at (0.000, 0.364, 0.250), Rh at (0.000, 0.162, 0.250) and Rh at (0.000, 0.465, 0.250).

SmEr3Te6: optimized geometry, PBE.

Its energy above the most stable polymorph in this dataset is 0.000 eV per atom. As for the formation energy from raw total energies: -1.378 eV/atom. The calculation puts the volume at 652 Å³ per cell. The value obtained for the calculated density is 7.22 g/cm³.

The space group is P2_1/m (No. 11) and the conventional cell measures 12.436, 4.352 and 12.765 Å, with angles of 90.00, 109.36 and 90.00 degrees. The inequivalent atoms are Sm at (0.046, 0.250, 0.197), Er at (0.156, 0.250, 0.582), Er at (0.317, 0.750, 0.998), Er at (0.434, 0.250, 0.335), Te at (0.084, 0.750, 0.403), Te at (0.114, 0.250, 0.968), Te at (0.194, 0.750, 0.750), Te at (0.256, 0.750, 0.222), Te at (0.392, 0.250, 0.560) and Te at (0.482, 0.250, 0.117).

MgSn5Br12: optimized geometry, PBE.

As for the formation energy from raw total energies: -0.872 eV/atom. The calculation puts the volume at 1353 Å³ per cell. The value obtained for the calculated density is 3.87 g/cm³.

The space group is C2/m (No. 12) and the conventional cell measures 7.441, 12.928 and 14.065 Å, with angles of 90.00, 90.01 and 90.00 degrees. The inequivalent atoms are Mg at (0.000, 0.000, 0.000), Sn at (0.000, 0.167, 0.500), Sn at (0.000, 0.333, 0.000), Sn at (0.000, 0.500, 0.500), Br at (0.151, 0.151, 0.110), Br at (0.166, 0.000, 0.379), Br at (0.166, 0.333, 0.378) and Br at (0.197, 0.500, 0.110).

LaTbHg6: optimized geometry, PBE.

The calculation puts the volume at 406 Å³ per cell. For the formation energy, the calculation gives -0.385 eV/atom. The value obtained for the calculated density is 12.27 g/cm³.

The space group is Amm2 (No. 38) and the conventional cell measures 5.061, 6.823 and 11.768 Å, with angles of 90.00, 90.00 and 90.00 degrees. The inequivalent atoms are La at (0.000, 0.000, 0.000), Tb at (0.500, 0.000, 0.674), Hg at (0.000, 0.000, 0.508), Hg at (0.000, 0.248, 0.252), Hg at (0.500, 0.000, 0.173) and Hg at (0.500, 0.237, 0.417).

TbBBr2: optimized geometry, PBE.

As for the formation energy from raw total energies: 0.146 eV/atom. The calculation puts the volume at 223 Å³ per cell. The value obtained for the calculated density is 4.91 g/cm³.

The space group is C2 (No. 5) and the conventional cell measures 6.409, 3.694 and 9.642 Å, with angles of 90.00, 102.66 and 90.00 degrees. The inequivalent atoms are Tb at (0.000, 0.000, 0.000), B at (0.000, 0.494, 0.500) and Br at (0.098, 0.500, 0.792).

Hf6BiS12: optimized geometry, PBE.

As for the formation energy from raw total energies: -1.092 eV/atom. The calculation puts the volume at 1215 Å³ per cell. The value obtained for the calculated density is 6.83 g/cm³.

The space group is R-3m (No. 166, hexagonal axes) and the conventional cell measures 12.2648, 12.2648 and 9.3261 Å, with angles of 90.00, 90.00 and 120.00 degrees. The inequivalent atoms are Hf at (0.0705, 0.5352, 0.2829), Bi at (0.0000, 0.0000, 0.0000), S at (0.0000, 0.3735, 0.5000) and S at (0.0906, 0.1813, 0.3560).

KZnGa2Se: optimized geometry, PBE.

As for the formation energy from raw total energies: 0.031 eV/atom. The calculation puts the volume at 139 Å³ per cell. The value obtained for the calculated density is 3.87 g/cm³.

The space group is P4/mmm (No. 123) and the conventional cell measures 4.875, 4.875 and 5.837 Å, with angles of 90.00, 90.00 and 90.00 degrees. The inequivalent atoms are K at (0.000, 0.000, 0.000), Zn at (0.000, 0.000, 0.500), Ga at (0.000, 0.500, 0.500) and Se at (0.500, 0.500, 0.000).

Na2SrGe2: optimized geometry, PBE.

Its energy above the most stable polymorph in this dataset is 0.205 eV per atom. The calculation puts the volume at 248 Å³ per cell. For the formation energy, the calculation gives -0.087 eV/atom. The value obtained for the calculated density is 3.73 g/cm³.

The space group is P4/mbm (No. 127) and the conventional cell measures 8.757, 8.757 and 3.237 Å, with angles of 90.00, 90.00 and 90.00 degrees. The inequivalent atoms are Na at (0.115, 0.385, 0.000), Sr at (0.000, 0.000, 0.000) and Ge at (0.184, 0.684, 0.500).

Tb2Nd3Sm6Er: optimized geometry, PBE.

The calculation puts the volume at 806 Å³ per cell. For the formation energy, the calculation gives 0.016 eV/atom. The value obtained for the calculated density is 7.50 g/cm³.

The space group is C2/m (No. 12) and the conventional cell measures 6.275, 10.867 and 11.997 Å, with angles of 90.00, 100.05 and 90.00 degrees. The inequivalent atoms are Tb at (0.000, 0.167, 0.000), Nd at (0.000, 0.000, 0.500), Nd at (0.000, 0.333, 0.500), Sm at (0.249, 0.000, 0.246), Sm at (0.249, 0.334, 0.246) and Er at (0.000, 0.500, 0.000).

Zr2AgHRh: optimized geometry, PBE.

Its energy above the most stable polymorph in this dataset is 0.043 eV per atom. The calculation puts the volume at 77 Å³ per cell. The value obtained for the calculated density is 8.47 g/cm³.

The space group is P4/mmm (No. 123) and the conventional cell measures 4.347, 4.347 and 4.092 Å, with angles of 90.00, 90.00 and 90.00 degrees. The inequivalent atoms are Zr at (0.000, 0.500, 0.000), Ag at (0.000, 0.000, 0.500), H at (0.000, 0.000, 0.000) and Rh at (0.500, 0.500, 0.500).

Y2IrBr: optimized geometry, PBE.

Its energy above the most stable polymorph in this dataset is 0.004 eV per atom. As for the formation energy from raw total energies: -1.081 eV/atom. The calculation puts the volume at 216 Å³ per cell. The value obtained for the calculated density is 6.90 g/cm³.

The space group is C2/m (No. 12) and the conventional cell measures 7.040, 4.067 and 7.911 Å, with angles of 90.00, 107.13 and 90.00 degrees. The inequivalent atoms are Y at (0.230, 0.000, 0.192), Ir at (0.000, 0.500, 0.000) and Br at (0.000, 0.000, 0.500).

HfInAu: optimized geometry, PBE.

The calculation puts the volume at 123 Å³ per cell. For the formation energy, the calculation gives -0.270 eV/atom. The value obtained for the calculated density is 13.25 g/cm³.

The space group is P2/m (No. 10) and the conventional cell measures 4.418, 4.297 and 6.836 Å, with angles of 90.00, 108.74 and 90.00 degrees. The inequivalent atoms are Hf at (0.000, 0.000, 0.000), Hf at (0.500, 0.500, 0.000), In at (0.170, 0.500, 0.341) and Au at (0.345, 0.000, 0.688).

KMg2Mn: optimized geometry, PBE.

Its energy above the most stable polymorph in this dataset is 0.309 eV per atom. The calculation puts the volume at 108 Å³ per cell. For the formation energy, the calculation gives 0.660 eV/atom. The value obtained for the calculated density is 2.19 g/cm³.

The space group is Pmmm (No. 47) and the conventional cell measures 3.327, 5.666 and 5.742 Å, with angles of 90.00, 90.00 and 90.00 degrees. The inequivalent atoms are K at (0.000, 0.000, 0.000), Mg at (0.000, 0.500, 0.500), Mg at (0.500, 0.500, 0.000) and Mn at (0.500, 0.000, 0.500).

Tl2RhCl2: optimized geometry, PBE.

Its energy above the most stable polymorph in this dataset is 0.373 eV per atom. As for the formation energy from raw total energies: 0.289 eV/atom. The calculation puts the volume at 290 Å³ per cell. The value obtained for the calculated density is 6.66 g/cm³.

The space group is I4/mmm (No. 139) and the conventional cell measures 4.512, 4.512 and 14.261 Å, with angles of 90.00, 90.00 and 90.00 degrees. The inequivalent atoms are Tl at (0.000, 0.000, 0.119), Rh at (0.000, 0.000, 0.500) and Cl at (0.000, 0.500, 0.250).

La2Y2Ho3: optimized geometry, PBE.

Its energy above the most stable polymorph in this dataset is 0.000 eV per atom. The calculation puts the volume at 462 Å³ per cell. For the formation energy, the calculation gives 0.023 eV/atom. The value obtained for the calculated density is 6.84 g/cm³.

The space group is C2/m (No. 12) and the conventional cell measures 11.860, 3.613 and 10.821 Å, with angles of 90.00, 95.49 and 90.00 degrees. The inequivalent atoms are La at (0.214, 0.000, 0.355), Y at (0.070, 0.000, 0.790), Ho at (0.000, 0.500, 0.500) and Ho at (0.142, 0.500, 0.069).

Li3MgZn: optimized geometry, PBE.

Its energy above the most stable polymorph in this dataset is 0.000 eV per atom. The calculation puts the volume at 178 Å³ per cell. For the formation energy, the calculation gives -0.082 eV/atom. The value obtained for the calculated density is 2.06 g/cm³.

The space group is P2_1/m (No. 11) and the conventional cell measures 4.344, 4.509 and 9.342 Å, with angles of 90.00, 103.28 and 90.00 degrees. The inequivalent atoms are Li at (0.057, 0.250, 0.115), Li at (0.168, 0.750, 0.333), Li at (0.335, 0.750, 0.669), Mg at (0.440, 0.250, 0.883) and Zn at (0.249, 0.250, 0.503).

Cu2PtSeI: optimized geometry, PBE.

As for the formation energy from raw total energies: 0.489 eV/atom. The calculation puts the volume at 119 Å³ per cell. The value obtained for the calculated density is 7.36 g/cm³.

The space group is P4/mmm (No. 123) and the conventional cell measures 5.096, 5.096 and 4.585 Å, with angles of 90.00, 90.00 and 90.00 degrees. The inequivalent atoms are Cu at (0.000, 0.500, 0.000), Pt at (0.000, 0.000, 0.000), Se at (0.000, 0.000, 0.500) and I at (0.500, 0.500, 0.500).

FeTc2Cl: optimized geometry, PBE.

Its energy above the most stable polymorph in this dataset is 0.705 eV per atom. As for the formation energy from raw total energies: 0.950 eV/atom. The calculation puts the volume at 115 Å³ per cell. The value obtained for the calculated density is 8.30 g/cm³.

The space group is I-4m2 (No. 119) and the conventional cell measures 3.794, 3.794 and 7.990 Å, with angles of 90.00, 90.00 and 90.00 degrees. The inequivalent atoms are Fe at (0.000, 0.000, 0.000), Tc at (0.000, 0.000, 0.500), Tc at (0.000, 0.500, 0.750) and Cl at (0.000, 0.500, 0.250).

PrBe4IrPt2: optimized geometry, PBE.

The calculation puts the volume at 342 Å³ per cell. For the formation energy, the calculation gives -0.642 eV/atom. The value obtained for the calculated density is 11.05 g/cm³.

The space group is R-3m (No. 166, hexagonal axes) and the conventional cell measures 3.9560, 3.9560 and 25.2506 Å, with angles of 90.00, 90.00 and 120.00 degrees. The inequivalent atoms are Pr at (0.0000, 0.0000, 0.0000), Be at (0.0000, 0.0000, 0.1356), Be at (0.0000, 0.0000, 0.4120), Ir at (0.0000, 0.0000, 0.5000) and Pt at (0.0000, 0.0000, 0.2383).

The records above yield energy values of -138.55 -102.07 -114.76 -28.90 -28.14 -401.62 -11.76 -27.98 -112.51 -32.05 -55.57 -33.56 -10.82 -28.67 -72.71 -18.04 -16.82 -54.48 -137.28 eV/cell, respectively.